Entry 1:
# Cu7AgPd12 PBE-GGA optimized geometry
# - Formation energy from the elements: 251 meV/atom
# - Mass density: 9.58 Mg/m³
# - Volume: 951.6 Å³/cell
data_Cu7AgPd12
_chemical_formula_sum 'Cu21 Ag3 Pd36'
_symmetry_space_group_name_H-M 'R -3 m'
_symmetry_Int_Tables_number 166
_symmetry_space_group_name_Hall '-R 3 2"'
_cell_length_a 10.2963
_cell_length_b 10.2963
_cell_length_c 10.3643
_cell_angle_alpha 90.00
_cell_angle_beta 90.00
_cell_angle_gamma 120.00
loop_
_atom_site_label
_atom_site_type_symbol
_atom_site_fract_x
_atom_site_fract_y
_atom_site_fract_z
Cu1 Cu 0.0000 0.0000 0.0000
Cu2 Cu 0.1025 0.2050 0.3345
Ag1 Ag 0.0000 0.0000 0.5000
Pd1 Pd 0.0140 0.5070 0.2402
Pd2 Pd 0.0962 0.1924 0.8368

---

Entry 2:
# NaCrIr2Br PBE-GGA optimized geometry
# - Mass density: 6.60 Mg/m³
# - ΔE_f (raw): 0.98 eV/atom
# - Volume: 135.6 Å³/cell
data_NaCrIr2Br
_chemical_formula_sum 'Na1 Cr1 Ir2 Br1'
_symmetry_space_group_name_H-M 'P 4/m m m'
_symmetry_Int_Tables_number 123
_symmetry_space_group_name_Hall '-P 4 2'
_cell_length_a 4.408
_cell_length_b 4.408
_cell_length_c 6.979
_cell_angle_alpha 90.00
_cell_angle_beta 90.00
_cell_angle_gamma 90.00
loop_
_atom_site_label
_atom_site_type_symbol
_atom_site_fract_x
_atom_site_fract_y
_atom_site_fract_z
Na1 Na 0.000 0.000 0.000
Cr1 Cr 0.000 0.000 0.500
Ir1 Ir 0.000 0.500 0.500
Br1 Br 0.500 0.500 0.000

---

Entry 3:
# Li2Zr2ScS6 PBE-GGA optimized geometry
# - Mass density: 3.33 Mg/m³
# - ΔE_f (raw): -1.62 eV/atom
# - Volume: 432.5 Å³/cell
data_Li2Zr2ScS6
_chemical_formula_sum 'Li4 Zr4 Sc2 S12'
_symmetry_space_group_name_H-M 'C 1 2/m 1'
_symmetry_Int_Tables_number 12
_symmetry_space_group_name_Hall '-C 2y'
_cell_length_a 6.334
_cell_length_b 10.986
_cell_length_c 6.563
_cell_angle_alpha 90.00
_cell_angle_beta 108.74
_cell_angle_gamma 90.00
loop_
_atom_site_label
_atom_site_type_symbol
_atom_site_fract_x
_atom_site_fract_y
_atom_site_fract_z
Li1 Li 0.000 0.168 0.000
Zr1 Zr 0.000 0.334 0.500
Sc1 Sc 0.000 0.000 0.500
S1 S 0.247 0.168 0.742
S2 S 0.250 0.000 0.257

---

Entry 4:
# BOsRh PBE-GGA optimized geometry
# - Formation energy from the elements: 50 meV/atom
# - Mass density: 13.54 Mg/m³
# - Volume: 74.6 Å³/cell
data_BOsRh
_chemical_formula_sum 'B2 Os2 Rh2'
_symmetry_space_group_name_H-M 'P 4/n m m'
_symmetry_Int_Tables_number 129
_cell_length_a 3.849
_cell_length_b 3.849
_cell_length_c 5.032
_cell_angle_alpha 90.00
_cell_angle_beta 90.00
_cell_angle_gamma 90.00
loop_
_symmetry_equiv_pos_as_xyz
'x,y,z'
'-x,-y,-z'
'-y+1/2,x,z'
'y+1/2,-x,-z'
'-x+1/2,-y+1/2,z'
'x+1/2,y+1/2,-z'
'y,-x+1/2,z'
'-y,x+1/2,-z'
'x+1/2,-y,-z'
'-x+1/2,y,z'
'-y,-x,-z'
'y,x,z'
'-x,y+1/2,-z'
'x,-y+1/2,z'
'y+1/2,x+1/2,-z'
'-y+1/2,-x+1/2,z'
loop_
_atom_site_label
_atom_site_type_symbol
_atom_site_fract_x
_atom_site_fract_y
_atom_site_fract_z
B1 B 0.250 0.250 0.199
Os1 Os 0.250 0.750 0.000
Rh1 Rh 0.250 0.250 0.611

---

Entry 5:
# Pu2ScH8 PBE-GGA optimized geometry
# - Electronic total energy: -133.61 eV for the cell shown
# - Mass density: 9.05 Mg/m³
# - Volume: 198.6 Å³/cell
data_Pu2ScH8
_chemical_formula_sum 'Pu4 Sc2 H16'
_symmetry_space_group_name_H-M 'I m m m'
_symmetry_Int_Tables_number 71
_symmetry_space_group_name_Hall '-I 2 2'
_cell_length_a 3.706
_cell_length_b 4.853
_cell_length_c 11.042
_cell_angle_alpha 90.00
_cell_angle_beta 90.00
_cell_angle_gamma 90.00
loop_
_atom_site_label
_atom_site_type_symbol
_atom_site_fract_x
_atom_site_fract_y
_atom_site_fract_z
Pu1 Pu 0.000 0.000 0.177
Sc1 Sc 0.000 0.000 0.500
H1 H 0.000 0.253 0.000
H2 H 0.000 0.254 0.356
H3 H 0.000 0.500 0.188

---

Entry 6:
# Li2TaRu PBE-GGA optimized geometry
# - Formation energy from the elements: 99 meV/atom
# - Mass density: 7.49 Mg/m³
# - Volume: 65.6 Å³/cell
# - Offset from the most stable computed form: 0.0104 eV per atom
data_Li2TaRu
_chemical_formula_sum 'Li2 Ta1 Ru1'
_symmetry_space_group_name_H-M 'P 1 m 1'
_symmetry_Int_Tables_number 6
_symmetry_space_group_name_Hall 'P -2y'
_cell_length_a 3.108
_cell_length_b 3.329
_cell_length_c 6.337
_cell_angle_alpha 90.00
_cell_angle_beta 90.17
_cell_angle_gamma 90.00
loop_
_atom_site_label
_atom_site_type_symbol
_atom_site_fract_x
_atom_site_fract_y
_atom_site_fract_z
Li1 Li 0.000 0.000 0.000
Li2 Li 0.497 0.500 0.231
Ta1 Ta 0.993 0.000 0.540
Ru1 Ru 0.502 0.500 0.730